(1)
The following is a GGA-PBEsol calculation of a relaxed structure of KLi2Sb2, from Alexandria via LeMat-Bulk.

Lattice parameters (Å, degrees): 8.712 8.712 3.123 90.00 90.00 90.00
Space group P4/mbm (No. 127)
Symmetry-distinct sites (fractional):
1 K 0.000 0.000 0.000 [2 per cell]
2 Li 0.124 0.376 0.000 [4 per cell]
3 Sb 0.165 0.665 0.500 [4 per cell]

Results
Its excess energy over the best structure of this formula in the dataset is 0 meV per atom. The magnetization comes out at 0.0 μB/cell.


(2)
The following is a GGA-PBEsol calculation of a relaxed structure of KLi3Sb, from Alexandria via LeMat-Bulk.

Lattice parameters (Å, degrees): 5.292 5.292 5.292 90.00 90.00 90.00
Space group Pm-3m (No. 221)
Symmetry-distinct sites (fractional):
1 K 0.000 0.000 0.000 [1 per cell]
2 Li 0.000 0.500 0.500 [3 per cell]
3 Sb 0.500 0.500 0.500 [1 per cell]

Results
The value obtained for the raw total energy is -13.1 eV for the cell shown. The magnetization comes out at 0.0 μB/cell.


(3)
The following is a GGA-PBEsol calculation of a relaxed structure of KLiSb, from Alexandria via LeMat-Bulk.

Lattice parameters (Å, degrees): 7.103 7.103 7.103 90.00 90.00 90.00
Space group F-43m (No. 216)
Symmetry-distinct sites (fractional):
1 K 0.000 0.000 0.000 [4 per cell]
2 Li 0.250 0.250 0.250 [4 per cell]
3 Sb 0.000 0.000 0.500 [4 per cell]

Results
Its excess energy over the best structure of this formula in the dataset is 225 meV per atom. The magnetization comes out at 1.3 μB/cell.


(4)
The following is a GGA-PBEsol calculation of a relaxed structure of KLi2Sb, from Alexandria via LeMat-Bulk.

Lattice parameters (Å, degrees): 3.293 4.377 7.508 90.00 90.00 90.00
Space group Pmmm (No. 47)
Symmetry-distinct sites (fractional):
1 K 0.000 0.000 0.000 [1 per cell]
2 Li 0.500 0.500 0.332 [2 per cell]
3 Sb 0.000 0.000 0.500 [1 per cell]

Results
The value obtained for the raw total energy is -10.6 eV for the cell shown. The magnetization comes out at 0.0 μB/cell.


(5)
The following is a GGA-PBEsol calculation of a relaxed structure of KLiSb, from Alexandria via LeMat-Bulk.

Lattice parameters (Å, degrees): 3.384 4.433 11.680 90.00 90.00 90.00
Space group Imm2 (No. 44)
Symmetry-distinct sites (fractional):
1 K 0.000 0.000 0.000 [2 per cell]
2 Li 0.000 0.000 0.737 [2 per cell]
3 Sb 0.000 0.000 0.299 [2 per cell]

Results
Its excess energy over the best structure of this formula in the dataset is 0 meV per atom. The magnetization comes out at 0.0 μB/cell.


(6)
The following is a GGA-PBEsol calculation of a relaxed structure of KLiSb, from Alexandria via LeMat-Bulk.

Lattice parameters (Å, degrees): 7.605 7.605 7.605 90.00 90.00 90.00
Space group F-43m (No. 216)
Symmetry-distinct sites (fractional):
1 K 0.000 0.000 0.000 [4 per cell]
2 Li 0.250 0.250 0.750 [4 per cell]
3 Sb 0.250 0.250 0.250 [4 per cell]

Results
Its excess energy over the best structure of this formula in the dataset is 603 meV per atom. The magnetization comes out at 4.1 μB/cell.


(7)
The following is a GGA-PBEsol calculation of a relaxed structure of KLi2Sb, from Alexandria via LeMat-Bulk.

Lattice parameters (Å, degrees): 8.246 4.761 6.645 90.00 114.36 90.00
Space group Cm (No. 8)
Symmetry-distinct sites (fractional):
1 K 0.000 0.000 0.000 [2 per cell]
2 Li 0.172 0.000 0.518 [2 per cell]
3 Li 0.478 0.000 0.436 [2 per cell]
4 Sb 0.306 0.500 0.420 [2 per cell]

Results
The value obtained for the raw total energy is -23.6 eV for the cell shown. The magnetization comes out at 0.0 μB/cell.


(8)
The following is a GGA-PBEsol calculation of a relaxed structure of KLi2Sb2, from Alexandria via LeMat-Bulk.

Lattice parameters (Å, degrees): 4.760 4.760 11.576 90.00 90.00 90.00
Space group I4/mmm (No. 139)
Symmetry-distinct sites (fractional):
1 K 0.000 0.000 0.000 [2 per cell]
2 Li 0.000 0.500 0.250 [4 per cell]
3 Sb 0.000 0.000 0.380 [4 per cell]

Results
Its excess energy over the best structure of this formula in the dataset is 13 meV per atom. The magnetization comes out at 0.0 μB/cell.


(9)
The following is a GGA-PBEsol calculation of a relaxed structure of KLi2Sb, from Alexandria via LeMat-Bulk.

Lattice parameters (Å, degrees): 7.427 7.427 7.427 90.00 90.00 90.00
Space group F-43m (No. 216)
Symmetry-distinct sites (fractional):
1 K 0.000 0.000 0.000 [4 per cell]
2 Li 0.000 0.000 0.500 [4 per cell]
3 Li 0.250 0.250 0.250 [4 per cell]
4 Sb 0.250 0.250 0.750 [4 per cell]

Results
The value obtained for the raw total energy is -43.4 eV for the cell shown. The magnetization comes out at 0.0 μB/cell.


(10)
The following is a GGA-PBEsol calculation of a relaxed structure of KLiSbTe2, from Alexandria via LeMat-Bulk.

Lattice parameters (Å, degrees): 5.946 5.946 5.743 90.00 90.00 90.00
Space group P4/mmm (No. 123)
Symmetry-distinct sites (fractional):
1 K 0.000 0.000 0.000 [1 per cell]
2 Li 0.500 0.500 0.500 [1 per cell]
3 Sb 0.000 0.000 0.500 [1 per cell]
4 Te 0.000 0.500 0.000 [2 per cell]

Results
The value obtained for the raw total energy is -11.4 eV for the cell shown. The magnetization comes out at 0.0 μB/cell.


(11)
The following is a GGA-PBEsol calculation of a relaxed structure of KLi3Sc, from Alexandria via LeMat-Bulk.

Lattice parameters (Å, degrees): 5.781 5.781 5.781 90.00 90.00 90.00
Space group Pm-3m (No. 221)
Symmetry-distinct sites (fractional):
1 K 0.000 0.000 0.000 [1 per cell]
2 Li 0.000 0.500 0.500 [3 per cell]
3 Sc 0.500 0.500 0.500 [1 per cell]

Results
Its excess energy over the best structure of this formula in the dataset is 0 meV per atom. The magnetization comes out at 1.8 μB/cell. The energy relative to the elements comes out at 0.72 eV/atom.


(12)
The following is a GGA-PBEsol calculation of a relaxed structure of KLiSc2, from Alexandria via LeMat-Bulk.

Lattice parameters (Å, degrees): 7.748 7.748 7.748 90.00 90.00 90.00
Space group F-43m (No. 216)
Symmetry-distinct sites (fractional):
1 K 0.000 0.000 0.000 [4 per cell]
2 Li 0.250 0.250 0.750 [4 per cell]
3 Sc 0.000 0.000 0.500 [4 per cell]
4 Sc 0.250 0.250 0.250 [4 per cell]

Results
Its excess energy over the best structure of this formula in the dataset is 216 meV per atom. The magnetization comes out at 0.0 μB/cell. The energy relative to the elements comes out at 0.71 eV/atom.